Record 1
Material: AlCd2CoS
Method: DFT, PBE
State: optimized geometry

The value obtained for the raw formation energy is 0.788 eV per atom. The calculation puts the total magnetization at 2.3 Bohr magnetons per cell.

The structure belongs to space group P4/mmm (No. 123); the cell edges are 5.1206, 5.1206 and 4.4771 Å and the angles 90.00°, 90.00° and 90.00°. The distinct sites, in fractional coordinates, are Al at (0.0000, 0.0000, 0.0000), Cd at (0.0000, 0.5000, 0.0000), Co at (0.0000, 0.0000, 0.5000) and S at (0.5000, 0.5000, 0.5000).

Record 2
Material: Y2AlCdCo
Method: DFT, PBE
State: optimized geometry

The calculation puts the total magnetization at 0.0 Bohr magnetons per cell. The value obtained for the formation energy is -200 meV per atom.

The structure belongs to space group P4/mmm (No. 123); the cell edges are 5.1509, 5.1509 and 4.5933 Å and the angles 90.00°, 90.00° and 90.00°. The distinct sites, in fractional coordinates, are Y at (0.0000, 0.5000, 0.0000), Al at (0.0000, 0.0000, 0.5000), Cd at (0.5000, 0.5000, 0.5000) and Co at (0.0000, 0.0000, 0.0000).

Record 3
Material: AlCrCd2
Method: DFT, PBE
State: optimized geometry

The calculation puts the total magnetization at 3.4 Bohr magnetons per cell. The value obtained for the formation energy is 230 meV per atom.

The structure belongs to space group Pm (No. 6); the cell edges are 2.9537, 4.2925 and 6.0825 Å and the angles 90.00°, 102.72° and 90.00°. The distinct sites, in fractional coordinates, are Al at (0.0000, 0.0000, 0.0000), Cr at (0.4302, 0.5000, 0.8450), Cd at (0.1550, 0.5000, 0.2979) and Cd at (0.7721, 0.0000, 0.5438).

Record 4
Material: AlCrCd2
Method: DFT, PBE
State: optimized geometry

The calculation puts the total magnetization at 4.0 Bohr magnetons per cell. The value obtained for the formation energy is 280 meV per atom.

The structure belongs to space group Pmmm (No. 47); the cell edges are 3.1439, 4.1420 and 5.8645 Å and the angles 90.00°, 90.00° and 90.00°. The distinct sites, in fractional coordinates, are Al at (0.0000, 0.0000, 0.0000), Cr at (0.0000, 0.0000, 0.5000) and Cd at (0.5000, 0.5000, 0.2534).